TlSi2W | GGA-PBEsol | relaxed

The total energy is -6.4305 eV/atom.

The structure belongs to space group R3m (No. 160, hexagonal axes); the cell edges are 2.9001, 2.9001 and 29.5163 Å and the angles 90.00°, 90.00° and 120.00°. The distinct sites, in fractional coordinates, are Tl at (0.0000, 0.0000, 0.0000), Si at (0.0000, 0.0000, 0.2260), Si at (0.0000, 0.0000, 0.4907) and W at (0.0000, 0.0000, 0.7567).